Entry 1:
A plane-wave DFT calculation with PBE-GGA was carried out for a geometry-optimized MgBe2V structure.

size of the total moment = 0.000 μB per formula unit
formation energy = 163 meV per atom
electronic total energy = -35.031 eV for the cell shown

a b c (Å): 2.6993 6.0211 6.9700
angles (deg): 69.09 79.72 77.73
Closest atoms and distances in Å follow each position.
Space group P-1 (No. 2)
Inequivalent atoms, fractional coordinates:
Mg: 0.1563 0.2478 0.4745 [2 per cell]  4 Be 2.64-2.83, 2 Mg 2.70, 1 V 2.82
Be: 0.0763 0.7017 0.1571 [2 per cell]  3 Be 2.18-2.27
Be: 0.2704 0.5752 0.8788 [2 per cell]  5 Be 2.10-2.27
V: 0.3894 0.0681 0.1418 [2 per cell]  1 V 2.34, 6 Be 2.44-2.55

---

Entry 2:
A plane-wave DFT calculation with PBE-GGA was carried out for a geometry-optimized TiSiMo structure.

size of the total moment = 0.000 μB per formula unit
formation energy (no corrections) = -0.48 eV per atom
electronic total energy = -51.162 eV for the cell shown

a b c (Å): 3.2807 3.2807 8.3407
angles (deg): 90.00 90.00 90.00
Closest atoms and distances in Å follow each position.
Space group I4mm (No. 107)
Inequivalent atoms, fractional coordinates:
Ti: 0.0000 0.0000 0.0000 [2 per cell]  5 Mo 2.72-2.75, 5 Si 2.72-2.73
Si: 0.0000 0.0000 0.3267 [2 per cell]  5 Mo 2.66-2.87, 5 Ti 2.72-2.73
Mo: 0.0000 0.0000 0.6707 [2 per cell]  5 Si 2.66-2.87, 5 Ti 2.72-2.75

---

Entry 3:
A plane-wave DFT calculation with PBE-GGA was carried out for a geometry-optimized EuHo2Cu structure.

size of the total moment = 7.841 μB per formula unit
E above lowest polymorph = 0.0 meV/atom
formation energy = -56 meV per atom
electronic total energy = -23.751 eV for the cell shown

a b c (Å): 3.5138 3.5138 9.0612
angles (deg): 90.00 90.00 90.00
Closest atoms and distances in Å follow each position.
Space group P4/mmm (No. 123)
Inequivalent atoms, fractional coordinates:
Eu: 0.0000 0.0000 0.0000 [1 per cell]  4 Eu 3.51, 8 Ho 3.80
Ho: 0.5000 0.5000 0.3171 [2 per cell]  4 Cu 2.99, 1 Ho 3.31
Cu: 0.0000 0.0000 0.5000 [1 per cell]  8 Ho 2.99

---

Entry 4:
A plane-wave DFT calculation with PBE-GGA was carried out for a geometry-optimized Ti2CdO6 structure.

size of the total moment = 1.980 μB per formula unit
formation energy (no corrections) = -2.02 eV per atom
electronic total energy = -64.618 eV for the cell shown

a b c (Å): 5.2141 5.2141 4.6832
angles (deg): 90.00 90.00 120.00
Closest atoms and distances in Å follow each position.
Space group P-31m (No. 162)
Inequivalent atoms, fractional coordinates:
Ti: 0.3333 0.6667 0.0000 [2 per cell]  6 O 1.96
Cd: 0.0000 0.0000 0.5000 [1 per cell]  6 O 2.29
O: 0.0000 0.3617 0.2212 [6 per cell]  2 Ti 1.96

---

Entry 5:
A plane-wave DFT calculation with PBE-GGA was carried out for a geometry-optimized MnIn2P structure.

size of the total moment = 3.947 μB per formula unit
formation energy = 326 meV per atom
electronic total energy = -37.502 eV for the cell shown

a b c (Å): 5.6611 7.6318 3.7203
angles (deg): 90.00 93.65 90.00
Closest atoms and distances in Å follow each position.
Space group C2/m (No. 12)
Inequivalent atoms, fractional coordinates:
Mn: 0.0000 0.0000 0.0000 [2 per cell]  2 P 2.83, 8 In 2.96-3.07
In: 0.2500 0.2500 0.5000 [4 per cell]  2 In 2.83, 4 Mn 2.96-3.07, 4 P 2.96-3.07
P: 0.0000 0.5000 0.0000 [2 per cell]  2 Mn 2.83, 8 In 2.96-3.07

---

Entry 6:
A plane-wave DFT calculation with PBE-GGA was carried out for a geometry-optimized Sb2PtAu structure.

size of the total moment = 0.000 μB per formula unit
formation energy (no corrections) = -0.17 eV per atom
E above lowest polymorph = 46.2 meV/atom
electronic total energy = -54.693 eV for the cell shown

a b c (Å): 4.1521 4.1521 18.7991
angles (deg): 90.00 90.00 120.00
Closest atoms and distances in Å follow each position.
Space group R3m (No. 160, hexagonal axes)
Inequivalent atoms, fractional coordinates:
Sb: 0.0000 0.0000 0.0000 [3 per cell]  3 Pt 2.80, 3 Au 2.99
Sb: 0.0000 0.0000 0.1900 [3 per cell]  3 Pt 2.70, 3 Au 2.99
Pt: 0.0000 0.0000 0.5899 [3 per cell]  6 Sb 2.70-2.80
Au: 0.0000 0.0000 0.4286 [3 per cell]  6 Sb 2.99, 1 Pt 3.03